No. 1
# Fe2MoAs, optimized geometry, DFT PBE-GGA
data_Fe2MoAs
_chemical_formula_sum 'Fe4 Mo2 As2'
_space_group_name_H-M_alt 'I -4 m 2'
_space_group_IT_number 119
_space_group_name_Hall 'I -4 -2'
_cell_length_a 3.637
_cell_length_b 3.637
_cell_length_c 7.826
_cell_angle_alpha 90.00
_cell_angle_beta 90.00
_cell_angle_gamma 90.00
loop_
_atom_site_label
_atom_site_fract_x
_atom_site_fract_y
_atom_site_fract_z
Fe1 0.000 0.000 0.000
Fe2 0.000 0.500 0.250
Mo1 0.000 0.500 0.750
As1 0.000 0.000 0.500
# Energy of formation in eV per atom: 0.092
# ρ in kg/m³: 9067
# M_tot in μB/atom: 0.37

---

No. 2
# PaFeCoGe3, optimized geometry, DFT PBE-GGA
data_PaFeCoGe3
_chemical_formula_sum 'Pa4 Fe4 Co4 Ge12'
_space_group_name_H-M_alt 'C m c m'
_space_group_IT_number 63
_space_group_name_Hall '-C 2c 2'
_cell_length_a 7.568
_cell_length_b 9.743
_cell_length_c 5.772
_cell_angle_alpha 90.00
_cell_angle_beta 90.00
_cell_angle_gamma 90.00
loop_
_atom_site_label
_atom_site_fract_x
_atom_site_fract_y
_atom_site_fract_z
Pa1 0.000 0.244 0.250
Fe1 0.000 0.007 0.250
Co1 0.000 0.492 0.250
Ge1 0.000 0.251 0.750
Ge2 0.249 0.500 0.000
# Energy of formation in eV per atom: -0.122
# ρ in kg/m³: 8798
# M_tot in μB/atom: 0.00

---

No. 3
# RbSn3Se6, optimized geometry, DFT PBE-GGA
data_RbSn3Se6
_chemical_formula_sum 'Rb2 Sn6 Se12'
_space_group_name_H-M_alt 'P 1 21/m 1'
_space_group_IT_number 11
_cell_length_a 12.978
_cell_length_b 3.948
_cell_length_c 14.516
_cell_angle_alpha 90.00
_cell_angle_beta 100.61
_cell_angle_gamma 90.00
loop_
_space_group_symop_operation_xyz
'x,y,z'
'-x,-y,-z'
'-x,y+1/2,-z'
'x,-y+1/2,z'
loop_
_atom_site_label
_atom_site_fract_x
_atom_site_fract_y
_atom_site_fract_z
Rb1 0.145 0.250 0.403
Sn1 0.067 0.750 0.914
Sn2 0.191 0.250 0.725
Sn3 0.477 0.750 0.612
Se1 0.002 0.750 0.219
Se2 0.130 0.250 0.044
Se3 0.130 0.750 0.600
Se4 0.257 0.750 0.859
Se5 0.376 0.750 0.432
Se6 0.405 0.250 0.715
# Uncorrected formation energy in meV/atom: -480
# ρ in kg/m³: 4158
# M_tot in μB/atom: 0.00

---

No. 4
# Cs3ZnBr5, optimized geometry, DFT PBE-GGA
data_Cs3ZnBr5
_chemical_formula_sum 'Cs12 Zn4 Br20'
_space_group_name_H-M_alt 'I 4/m c m'
_space_group_IT_number 140
_space_group_name_Hall '-I 4 2c'
_cell_length_a 9.896
_cell_length_b 9.896
_cell_length_c 15.400
_cell_angle_alpha 90.00
_cell_angle_beta 90.00
_cell_angle_gamma 90.00
loop_
_atom_site_label
_atom_site_fract_x
_atom_site_fract_y
_atom_site_fract_z
Cs1 0.000 0.000 0.250
Cs2 0.165 0.335 0.000
Zn1 0.000 0.500 0.250
Br1 0.000 0.000 0.000
Br2 0.140 0.360 0.344
# Uncorrected formation energy in meV/atom: -1537
# ρ in kg/m³: 3804
# M_tot in μB/atom: 0.01

---

No. 5
# ZnCdRe2, optimized geometry, DFT PBE-GGA
data_ZnCdRe2
_chemical_formula_sum 'Zn3 Cd3 Re6'
_space_group_name_H-M_alt 'R -3 m'
_space_group_IT_number 166
_space_group_name_Hall '-R 3 2"'
_cell_length_a 2.8007
_cell_length_b 2.8007
_cell_length_c 28.1120
_cell_angle_alpha 90.00
_cell_angle_beta 90.00
_cell_angle_gamma 120.00
loop_
_atom_site_label
_atom_site_fract_x
_atom_site_fract_y
_atom_site_fract_z
Zn1 0.0000 0.0000 0.0000
Cd1 0.0000 0.0000 0.5000
Re1 0.0000 0.0000 0.2547
# Energy of formation in eV per atom: 0.489
# ρ in kg/m³: 14353
# M_tot in μB/atom: 0.00
# Energy relative to the lowest polymorph listed for this composition in eV/atom: 0.3260

---

No. 6
# ReHO2F, optimized geometry, DFT PBE-GGA
data_ReHO2F
_chemical_formula_sum 'Re1 H1 O2 F1'
_space_group_name_H-M_alt 'P 4/m m m'
_space_group_IT_number 123
_space_group_name_Hall '-P 4 2'
_cell_length_a 3.782
_cell_length_b 3.782
_cell_length_c 4.105
_cell_angle_alpha 90.00
_cell_angle_beta 90.00
_cell_angle_gamma 90.00
loop_
_atom_site_label
_atom_site_fract_x
_atom_site_fract_y
_atom_site_fract_z
Re1 0.000 0.000 0.000
H1 0.500 0.500 0.500
O1 0.000 0.500 0.000
F1 0.000 0.000 0.500
# ρ in kg/m³: 6737
# E in eV per atom: -6.3668
# M_tot in μB/atom: 0.18